The following is a GGA-PBE calculation of crystalline LiIr2Br at its relaxed geometry, from Alexandria.

```
LiIr2Br
1.0
-0.5407 -4.4652 1.6054
2.6103 -2.8249 -2.8308
1.2025 3.9916 2.3300
Br Li Ir
1 1 2
direct
0.7500 0.2500 0.5000
0.5000 0.5000 0.0000
0.0000 0.0000 0.0000
0.2500 0.7500 0.5000
```

## Properties
The uncorrected energy is -4.659 eV per atom. The calculation puts the magnetization at 0.0 μB per cell. Its space group is No. 119. The density comes out at 12.6 Mg/m³. The value obtained for the uncorrected formation energy is 668 meV/atom. The excess energy over the best structure of this formula in the dataset is 0.568 eV/atom.